First-principles (PBE) data for a geometry-optimized Ag12S5Cl3 structure, as listed in Alexandria.

Uncorrected energy = -3.064 eV/atom
Size of the total moment = 0.00 μB per atom

Cell lengths 13.345, 13.345, 13.345 Å; angles 109.47, 109.47, 109.47 degrees
Element x y z (fractional)
Cl 0.750 0.375 0.125
Cl 0.875 0.750 0.125
Cl 0.375 0.750 0.625
Cl 0.250 0.125 0.375
Cl 0.875 0.125 0.250
Cl 0.375 0.625 0.250
Cl 0.625 0.375 0.750
Cl 0.125 0.875 0.750
Cl 0.750 0.875 0.625
Cl 0.625 0.250 0.375
Cl 0.125 0.250 0.875
Cl 0.250 0.625 0.875
S 0.125 0.375 0.250
S 0.000 0.500 0.000
S 0.000 0.000 0.000
S 0.375 0.250 0.125
S 0.500 0.000 0.500
S 0.500 0.500 0.000
S 0.125 0.750 0.375
S 0.750 0.125 0.875
S 0.750 0.625 0.375
S 0.375 0.125 0.750
S 0.625 0.875 0.250
S 0.500 0.500 0.500
S 0.500 0.000 0.000
S 0.000 0.000 0.500
S 0.250 0.375 0.625
S 0.250 0.875 0.125
S 0.000 0.500 0.500
S 0.875 0.250 0.625
S 0.625 0.750 0.875
S 0.875 0.625 0.750
Ag 0.717 0.103 0.037
Ag 0.320 0.537 0.434
Ag 0.963 0.397 0.283
Ag 0.537 0.217 0.103
Ag 0.614 0.717 0.680
Ag 0.963 0.566 0.180
Ag 0.320 0.783 0.386
Ag 0.066 0.886 0.103
Ag 0.566 0.963 0.680
Ag 0.717 0.614 0.180
Ag 0.783 0.463 0.397
Ag 0.820 0.934 0.037
Ag 0.103 0.717 0.537
Ag 0.397 0.434 0.114
Ag 0.114 0.934 0.397
Ag 0.386 0.103 0.566
Ag 0.114 0.180 0.217
Ag 0.463 0.680 0.066
Ag 0.820 0.886 0.283
Ag 0.103 0.386 0.066
Ag 0.397 0.963 0.783
Ag 0.566 0.603 0.386
Ag 0.934 0.820 0.537
Ag 0.783 0.320 0.886
Ag 0.434 0.397 0.614
Ag 0.066 0.180 0.463
Ag 0.217 0.680 0.114
Ag 0.180 0.114 0.717
Ag 0.603 0.037 0.217
Ag 0.897 0.614 0.934
Ag 0.537 0.320 0.934
Ag 0.614 0.897 0.434
Ag 0.886 0.820 0.783
Ag 0.886 0.066 0.603
Ag 0.897 0.283 0.463
Ag 0.180 0.066 0.963
Ag 0.603 0.566 0.886
Ag 0.434 0.037 0.320
Ag 0.283 0.386 0.820
Ag 0.217 0.537 0.603
Ag 0.934 0.114 0.897
Ag 0.680 0.217 0.614
Ag 0.463 0.783 0.897
Ag 0.037 0.434 0.820
Ag 0.386 0.283 0.320
Ag 0.037 0.603 0.717
Ag 0.680 0.463 0.566
Ag 0.283 0.897 0.963

***

First-principles (PBE) data for a geometry-optimized Ag4S12Cl structure, as listed in Alexandria.

Uncorrected energy = -3.598 eV/atom
Size of the total moment = 0.00 μB per atom

Cell lengths 7.816, 7.816, 7.816 Å; angles 109.47, 109.47, 109.47 degrees
Element x y z (fractional)
Ag 0.000 0.500 0.000
Ag 0.000 0.000 0.500
Ag 0.500 0.000 0.000
Ag 0.500 0.500 0.500
S 0.753 0.145 0.608
S 0.855 0.392 0.247
S 0.392 0.537 0.145
S 0.145 0.392 0.537
S 0.608 0.463 0.855
S 0.145 0.608 0.753
S 0.608 0.753 0.145
S 0.392 0.247 0.855
S 0.855 0.608 0.463
S 0.537 0.145 0.392
S 0.463 0.855 0.608
S 0.247 0.855 0.392
Cl 0.000 0.000 0.000

***

First-principles (PBE) data for a geometry-optimized AgSCl3 structure, as listed in Alexandria.

Distance to the lowest polymorph of the same formula = 0.0 kJ per mole of atoms
Size of the total moment = 0.13 μB per atom

Cell lengths 3.652, 13.129, 7.881 Å; angles 76.76, 80.57, 54.11 degrees
Site moments in Bohr magnetons follow the coordinates.
Element x y z (fractional)
Ag 0.398 0.063 0.317  0.23
Ag 0.558 0.783 0.105  0.23
S 0.769 0.510 0.760  0.00
S 0.187 0.337 0.661  0.00
Cl 0.005 0.770 0.331  0.16
Cl 0.786 0.080 0.533  0.16
Cl 0.169 0.766 0.889  0.16
Cl 0.952 0.075 0.091  0.16
Cl 0.833 0.424 0.010  0.00
Cl 0.123 0.422 0.411  0.00

***

First-principles (PBE) data for a geometry-optimized Ag2S3Cl4 structure, as listed in Alexandria.

Uncorrected energy = -2.862 eV/atom
Size of the total moment = 0.00 μB per atom

Cell lengths 3.323, 15.872, 15.872 Å; angles 44.16, 90.35, 90.35 degrees
Element x y z (fractional)
Ag 0.740 0.164 0.551
Ag 0.760 0.449 0.836
Ag 0.260 0.836 0.449
Ag 0.240 0.551 0.164
S 0.754 0.994 0.113
S 0.746 0.887 0.006
S 0.246 0.006 0.887
S 0.254 0.113 0.994
S 0.250 0.445 0.555
S 0.750 0.555 0.445
Cl 0.255 0.801 0.326
Cl 0.245 0.674 0.199
Cl 0.745 0.199 0.674
Cl 0.755 0.326 0.801
Cl 0.237 0.140 0.458
Cl 0.263 0.542 0.860
Cl 0.763 0.860 0.542
Cl 0.737 0.458 0.140

***

First-principles (PBE) data for a geometry-optimized AgS2Cl structure, as listed in Alexandria.

Distance to the lowest polymorph of the same formula = 75.0 kJ per mole of atoms
Size of the total moment = 0.00 μB per atom

Cell lengths 11.815, 11.815, 11.815 Å; angles 13.78, 13.78, 13.78 degrees
Element x y z (fractional)
S 0.931 0.931 0.931
S 0.069 0.069 0.069
Ag 0.000 0.000 0.000
Cl 0.500 0.500 0.500

***

First-principles (PBE) data for a geometry-optimized Ag2SCl2 structure, as listed in Alexandria.

Uncorrected energy = -2.996 eV/atom
Size of the total moment = 0.00 μB per atom

Cell lengths 4.192, 7.432, 8.687 Å; angles 83.32, 102.34, 86.75 degrees
Element x y z (fractional)
Ag 0.855 0.198 0.744
Ag 0.145 0.802 0.256
Ag 0.566 0.334 0.205
Ag 0.434 0.666 0.795
S 0.689 0.420 0.490
S 0.311 0.580 0.510
Cl 0.876 0.865 0.711
Cl 0.124 0.135 0.289
Cl 0.594 0.694 0.103
Cl 0.406 0.306 0.897